[1]
MnSbAs2, relaxed, DFT PBE-GGA; total moment = 2.3 μB per formula unit; E_form (uncorrected) = 0.082 eV/atom; space-group type = R-3m (166)
1.0
-4.673 6.271 4.081
-6.885 5.135 2.008
-6.408 3.646 4.843
As Mn Sb
2 1 1
direct
0.980 0.980 0.980 As
0.520 0.520 0.520 As
0.250 0.250 0.250 Mn
0.750 0.750 0.750 Sb



[2]
MnSbAs, relaxed, DFT PBE-GGA; total moment = 2.9 μB per formula unit; E_form (uncorrected) = 0.093 eV/atom; space-group type = F-43m (216)
1.0
4.464 0.000 0.000
2.232 3.866 0.000
2.232 1.289 3.645
As Mn Sb
1 1 1
direct
0.500 0.500 0.500 As
0.750 0.750 0.750 Mn
0.000 0.000 0.000 Sb



[3]
MnSbAs2, relaxed, DFT PBE-GGA; total moment = 4.1 μB per formula unit; E_form (uncorrected) = 0.214 eV/atom; space-group type = Fmmm (69)
1.0
5.622 -0.067 0.064
-1.311 3.930 0.106
1.324 0.827 3.840
As Mn Sb
2 1 1
direct
0.000 0.000 0.000 As
0.000 0.500 0.500 As
0.500 0.500 0.000 Mn
0.500 0.000 0.500 Sb



[4]
MnSbAs, relaxed, DFT PBE-GGA; total moment = 3.0 μB per formula unit; E_form (uncorrected) = 0.155 eV/atom; space-group type = P3m1 (156)
1.0
4.253 0.000 0.000
-2.126 3.683 0.000
0.000 0.000 3.906
As Mn Sb
1 1 1
direct
0.000 0.000 0.167 As
0.667 0.333 0.164 Mn
0.333 0.667 0.668 Sb



[5]
Mn2SbAs2, relaxed, DFT PBE-GGA; total moment = 0.5 μB per formula unit; E_form (uncorrected) = 0.253 eV/atom; space-group type = I4/mmm (139)
1.0
-1.465 2.186 -2.678
-1.837 -2.956 -1.409
-6.151 0.783 1.371
Sb As Mn
1 2 2
direct
0.000 0.000 0.000 Sb
0.750 0.250 0.500 As
0.250 0.750 0.500 As
0.382 0.382 0.236 Mn
0.618 0.618 0.764 Mn



[6]
MnSbAs2, relaxed, DFT PBE-GGA; total moment = 3.9 μB per formula unit; E_form (uncorrected) = 0.368 eV/atom; space-group type = Pmmm (47)
1.0
3.566 0.000 0.000
0.000 4.682 0.000
0.000 0.000 4.820
As Mn Sb
2 1 1
direct
0.000 0.000 0.000 As
0.500 0.500 0.000 As
0.500 0.000 0.500 Mn
0.000 0.500 0.500 Sb



[7]
Mn2SbAs2, relaxed, DFT PBE-GGA; total moment = 0.0 μB per formula unit; E_form (uncorrected) = 0.468 eV/atom; space-group type = P4/mbm (127)
1.0
-1.088 -6.816 2.796
1.969 -2.993 -6.529
2.761 -0.083 0.871
Sb As Mn
2 4 4
direct
0.000 0.000 0.000 Sb
0.500 0.500 0.000 Sb
0.363 0.863 0.000 As
0.863 0.637 0.000 As
0.637 0.137 0.000 As
0.137 0.363 0.000 As
0.142 0.642 0.500 Mn
0.642 0.858 0.500 Mn
0.858 0.358 0.500 Mn
0.358 0.142 0.500 Mn



[8]
MnSbAs2, relaxed, DFT PBE-GGA; total moment = 3.1 μB per formula unit; E_form (uncorrected) = 0.138 eV/atom; space-group type = Imm2 (44)
1.0
-1.351 4.615 -4.672
-1.700 -0.235 -6.481
-0.987 -2.487 6.147
As Mn Sb
2 1 1
direct
0.004 0.004 0.000 As
0.831 0.331 0.500 As
0.482 0.482 0.000 Mn
0.183 0.683 0.500 Sb



What did we get for D(E_F)? Answer: 2.35, 1.79, 1.87, 1.12, 3.85, 2.23, 11.18, 1.81 states/eV/f.u., in the order shown.